No. 1
A relaxed PmPr2Zn crystal, computed with PBE.

Calculated values
Relative energy among the computed polymorphs: 0.123 eV/atom
Energy of formation from the pure elements: -2.5 kJ/mol of atoms

Cell and atoms, written as CIF:
```
data_PmPr2Zn
_cell_length_a 3.7174
_cell_length_b 3.7174
_cell_length_c 31.9923
_cell_angle_alpha 90.00
_cell_angle_beta 90.00
_cell_angle_gamma 120.00
_symmetry_space_group_name_H-M 'R 3 m'
_symmetry_Int_Tables_number 160
_symmetry_space_group_name_Hall 'R 3 -2"'
loop_
_atom_site_label
_atom_site_type_symbol
_atom_site_fract_x
_atom_site_fract_y
_atom_site_fract_z
_atom_site_occupancy
Pm1 Pm 0.0000 0.0000 0.0000 1
Pr1 Pr 0.0000 0.0000 0.5717 1
Pr2 Pr 0.0000 0.0000 0.7619 1
Zn1 Zn 0.0000 0.0000 0.1666 1
```

---

No. 2
A relaxed SrCo2Pb crystal, computed with PBE.

Calculated values
Energy of formation from the pure elements: 28.3 kJ/mol of atoms

Cell and atoms, written as CIF:
```
data_SrCo2Pb
_cell_length_a 3.300
_cell_length_b 3.300
_cell_length_c 7.693
_cell_angle_alpha 90.00
_cell_angle_beta 90.00
_cell_angle_gamma 90.00
_symmetry_space_group_name_H-M 'P 4 m m'
_symmetry_Int_Tables_number 99
_symmetry_space_group_name_Hall 'P 4 -2'
loop_
_atom_site_label
_atom_site_type_symbol
_atom_site_fract_x
_atom_site_fract_y
_atom_site_fract_z
_atom_site_occupancy
Sr1 Sr 0.000 0.000 0.000 1
Co1 Co 0.000 0.000 0.400 1
Co2 Co 0.500 0.500 0.286 1
Pb1 Pb 0.500 0.500 0.637 1
```

---

No. 3
A relaxed Sc2US6 crystal, computed with PBE.

Cell and atoms, written as CIF:
```
data_Sc2US6
_cell_length_a 6.136
_cell_length_b 6.136
_cell_length_c 11.398
_cell_angle_alpha 90.00
_cell_angle_beta 90.00
_cell_angle_gamma 90.00
_symmetry_space_group_name_H-M 'P 42/m n m'
_symmetry_Int_Tables_number 136
_symmetry_space_group_name_Hall '-P 4n 2n'
loop_
_atom_site_label
_atom_site_type_symbol
_atom_site_fract_x
_atom_site_fract_y
_atom_site_fract_z
_atom_site_occupancy
Sc1 Sc 0.000 0.000 0.163 1
U1 U 0.000 0.000 0.500 1
S1 S 0.195 0.195 0.334 1
S2 S 0.200 0.200 0.000 1
```

---

No. 4
A relaxed Cs2CaCuSe crystal, computed with PBE.

Cell and atoms, written as CIF:
```
data_Cs2CaCuSe
_cell_length_a 7.072
_cell_length_b 7.072
_cell_length_c 5.227
_cell_angle_alpha 90.00
_cell_angle_beta 90.00
_cell_angle_gamma 90.00
_symmetry_space_group_name_H-M 'P 4/m m m'
_symmetry_Int_Tables_number 123
_symmetry_space_group_name_Hall '-P 4 2'
loop_
_atom_site_label
_atom_site_type_symbol
_atom_site_fract_x
_atom_site_fract_y
_atom_site_fract_z
_atom_site_occupancy
Cs1 Cs 0.000 0.500 0.000 1
Ca1 Ca 0.000 0.000 0.000 1
Cu1 Cu 0.000 0.000 0.500 1
Se1 Se 0.500 0.500 0.500 1
```

---

No. 5
A relaxed Co2NiHPd crystal, computed with PBE.

Calculated values
Relative energy among the computed polymorphs: 0.032 eV/atom

Cell and atoms, written as CIF:
```
data_Co2NiHPd
_cell_length_a 3.655
_cell_length_b 3.655
_cell_length_c 3.828
_cell_angle_alpha 90.00
_cell_angle_beta 90.00
_cell_angle_gamma 90.00
_symmetry_space_group_name_H-M 'P 4/m m m'
_symmetry_Int_Tables_number 123
_symmetry_space_group_name_Hall '-P 4 2'
loop_
_atom_site_label
_atom_site_type_symbol
_atom_site_fract_x
_atom_site_fract_y
_atom_site_fract_z
_atom_site_occupancy
Co1 Co 0.000 0.500 0.000 1
Ni1 Ni 0.000 0.000 0.500 1
H1 H 0.500 0.500 0.000 1
Pd1 Pd 0.500 0.500 0.500 1
```

---

No. 6
A relaxed PmHfO crystal, computed with PBE.

Cell and atoms, written as CIF:
```
data_PmHfO
_cell_length_a 5.297
_cell_length_b 3.531
_cell_length_c 6.506
_cell_angle_alpha 90.00
_cell_angle_beta 90.00
_cell_angle_gamma 90.00
_symmetry_space_group_name_H-M 'P m m a'
_symmetry_Int_Tables_number 51
_symmetry_space_group_name_Hall '-P 2a 2a'
loop_
_atom_site_label
_atom_site_type_symbol
_atom_site_fract_x
_atom_site_fract_y
_atom_site_fract_z
_atom_site_occupancy
Pm1 Pm 0.250 0.000 0.175 1
Hf1 Hf 0.250 0.500 0.636 1
O1 O 0.250 0.000 0.807 1
```

---

No. 7
A relaxed RbSe2I2 crystal, computed with PBE.

Calculated values
Relative energy among the computed polymorphs: 0.393 eV/atom

Cell and atoms, written as CIF:
```
data_RbSe2I2
_cell_length_a 9.202
_cell_length_b 9.202
_cell_length_c 3.945
_cell_angle_alpha 90.00
_cell_angle_beta 90.00
_cell_angle_gamma 90.00
_symmetry_space_group_name_H-M 'P 4/m b m'
_symmetry_Int_Tables_number 127
_symmetry_space_group_name_Hall '-P 4 2ab'
loop_
_atom_site_label
_atom_site_type_symbol
_atom_site_fract_x
_atom_site_fract_y
_atom_site_fract_z
_atom_site_occupancy
Rb1 Rb 0.000 0.000 0.000 1
Se1 Se 0.208 0.292 0.500 1
I1 I 0.121 0.621 0.000 1
```

---

No. 8
A relaxed YScMo2 crystal, computed with PBE.

Calculated values
Relative energy among the computed polymorphs: 0.367 eV/atom
Energy of formation from the pure elements: 41.4 kJ/mol of atoms

Cell and atoms, written as CIF:
```
data_YScMo2
_cell_length_a 5.847
_cell_length_b 9.545
_cell_length_c 2.937
_cell_angle_alpha 90.00
_cell_angle_beta 107.26
_cell_angle_gamma 90.00
_symmetry_space_group_name_H-M 'C 1 2/m 1'
_symmetry_Int_Tables_number 12
_symmetry_space_group_name_Hall '-C 2y'
loop_
_atom_site_label
_atom_site_type_symbol
_atom_site_fract_x
_atom_site_fract_y
_atom_site_fract_z
_atom_site_occupancy
Y1 Y 0.000 0.000 0.000 1
Sc1 Sc 0.000 0.500 0.000 1
Mo1 Mo 0.250 0.250 0.500 1
```

---

What magnetic moment values result from the calculations? In sequence: 0.0; 3.1; 0.2; 0.0; 4.2; 0.0; 0.0; 0.0 μB/cell.
What final energy values result from the calculations? In sequence: -3.922; -4.607; -6.862; -1.927; -5.617; -8.316; -2.230; -8.185 eV per atom.